Here is a geometry-optimized Pm4YHo4 structure from Alexandria via LeMat-Bulk. Energies are from PBE.

POSCAR file:
```
Pm4YHo4
1.0
8.492 -2.813 0.000
8.492 2.813 0.000
-2.696 0.000 6.211
Pm Y Ho
4 1 4
Direct
0.133 0.133 0.307 Pm
0.280 0.280 0.845 Pm
0.720 0.720 0.155 Pm
0.867 0.867 0.693 Pm
0.500 0.500 0.000 Y
0.072 0.072 0.767 Ho
0.375 0.375 0.424 Ho
0.625 0.625 0.576 Ho
0.928 0.928 0.233 Ho
```

Calculated values
magnetic moment = 0.00 μB per formula unit
E above lowest polymorph = 84 meV/atom
symmetry = C2/m (12)
energy of formation from the pure elements = 0.104 eV/atom
E = -42.84 eV per formula unit

Here is a geometry-optimized Pm2Y7Ho structure from Alexandria via LeMat-Bulk. Energies are from PBE.

POSCAR file:
```
Pm2Y7Ho
1.0
6.195 0.000 0.000
-2.062 6.865 0.000
-1.016 -2.173 7.633
Pm Y Ho
2 7 1
Direct
0.101 0.200 0.199 Pm
0.899 0.800 0.801 Pm
0.100 0.700 0.199 Y
0.300 0.101 0.600 Y
0.300 0.599 0.600 Y
0.500 0.000 0.000 Y
0.700 0.401 0.400 Y
0.700 0.899 0.400 Y
0.900 0.300 0.801 Y
0.500 0.500 0.000 Ho
```

Calculated values
magnetic moment = 0.00 μB per formula unit
E above lowest polymorph = 0 meV/atom
symmetry = P-1 (2)
energy of formation from the pure elements = 0.020 eV/atom
E = -59.13 eV per formula unit

Here is a geometry-optimized Pm9YHo2 structure from Alexandria via LeMat-Bulk. Energies are from PBE.

POSCAR file:
```
Pm9YHo2
1.0
5.124 0.000 0.000
0.000 5.124 0.000
0.000 0.000 15.369
Pm Y Ho
9 1 2
Direct
0.000 0.000 0.000 Pm
0.000 0.000 0.334 Pm
0.000 0.000 0.666 Pm
0.000 0.500 0.168 Pm
0.000 0.500 0.500 Pm
0.000 0.500 0.832 Pm
0.500 0.000 0.168 Pm
0.500 0.000 0.500 Pm
0.500 0.000 0.832 Pm
0.500 0.500 0.000 Y
0.500 0.500 0.334 Ho
0.500 0.500 0.666 Ho
```

Calculated values
magnetic moment = 0.00 μB per formula unit
symmetry = P4/mmm (123)
energy of formation from the pure elements = 0.016 eV/atom
E = -58.18 eV per formula unit

Here is a geometry-optimized PmY4Ho5 structure from Alexandria via LeMat-Bulk. Energies are from PBE.

POSCAR file:
```
PmY4Ho5
1.0
-5.083 5.083 3.166
5.083 -5.083 3.166
5.083 5.083 -3.166
Pm Y Ho
1 4 5
Direct
0.000 0.000 0.000 Pm
0.114 0.817 0.390 Y
0.426 0.724 0.610 Y
0.724 0.114 0.297 Y
0.817 0.426 0.703 Y
0.043 0.128 0.626 Ho
0.128 0.503 0.085 Ho
0.418 0.043 0.915 Ho
0.503 0.418 0.374 Ho
0.545 0.545 0.000 Ho
```

Calculated values
magnetic moment = 0.00 μB per formula unit
symmetry = I4 (79)
energy of formation from the pure elements = 0.298 eV/atom
E = -50.52 eV per formula unit

Here is a geometry-optimized Pm12YHo5 structure from Alexandria via LeMat-Bulk. Energies are from PBE.

POSCAR file:
```
Pm12YHo5
1.0
6.062 -8.583 0.000
6.062 8.583 0.000
0.000 0.000 5.765
Pm Y Ho
12 1 5
Direct
0.031 0.670 0.999 Pm
0.169 0.531 0.501 Pm
0.201 0.201 0.495 Pm
0.298 0.298 0.995 Pm
0.330 0.969 0.001 Pm
0.469 0.831 0.499 Pm
0.531 0.169 0.501 Pm
0.670 0.031 0.999 Pm
0.702 0.702 0.005 Pm
0.799 0.799 0.505 Pm
0.831 0.469 0.499 Pm
0.969 0.330 0.001 Pm
0.500 0.500 0.500 Y
0.000 0.000 0.000 Ho
0.135 0.865 0.500 Ho
0.365 0.635 0.000 Ho
0.635 0.365 0.000 Ho
0.865 0.135 0.500 Ho
```

Calculated values
magnetic moment = 0.00 μB per formula unit
symmetry = C2/m (12)
energy of formation from the pure elements = 0.079 eV/atom
E = -84.95 eV per formula unit

Here is a geometry-optimized Pm2Y5Ho5 structure from Alexandria via LeMat-Bulk. Energies are from PBE.

POSCAR file:
```
Pm2Y5Ho5
1.0
7.563 -2.521 0.000
7.563 2.521 0.000
-5.036 0.000 10.078
Pm Y Ho
2 5 5
Direct
0.083 0.083 0.251 Pm
0.917 0.917 0.749 Pm
0.000 0.000 0.500 Y
0.166 0.166 0.999 Y
0.249 0.249 0.749 Y
0.751 0.751 0.251 Y
0.834 0.834 0.001 Y
0.333 0.333 0.500 Ho
0.417 0.417 0.250 Ho
0.500 0.500 0.000 Ho
0.583 0.583 0.750 Ho
0.667 0.667 0.500 Ho
```

Calculated values
magnetic moment = 0.00 μB per formula unit
symmetry = C2/m (12)
energy of formation from the pure elements = 0.021 eV/atom
E = -64.45 eV per formula unit

Here is a geometry-optimized Pm3YHo structure from Alexandria via LeMat-Bulk. Energies are from PBE.

POSCAR file:
```
Pm3YHo
1.0
3.666 0.000 0.000
-1.831 11.127 0.000
-0.013 -4.783 16.490
Pm Y Ho
12 4 4
Direct
0.014 0.031 0.356 Pm
0.017 0.034 0.857 Pm
0.216 0.432 0.659 Pm
0.216 0.434 0.158 Pm
0.414 0.831 0.960 Pm
0.415 0.833 0.459 Pm
0.585 0.167 0.541 Pm
0.586 0.169 0.040 Pm
0.784 0.566 0.842 Pm
0.784 0.568 0.341 Pm
0.983 0.966 0.143 Pm
0.986 0.969 0.644 Pm
0.184 0.367 0.442 Y
0.384 0.765 0.740 Y
0.616 0.235 0.260 Y
0.816 0.633 0.558 Y
0.185 0.368 0.943 Ho
0.382 0.764 0.239 Ho
0.618 0.236 0.761 Ho
0.815 0.632 0.057 Ho
```

Calculated values
magnetic moment = 0.00 μB per formula unit
E above lowest polymorph = 0 meV/atom
symmetry = P-1 (2)
energy of formation from the pure elements = 0.019 eV/atom
E = -25.20 eV per formula unit

Here is a geometry-optimized Pm8Y3Ho2 structure from Alexandria via LeMat-Bulk. Energies are from PBE.

POSCAR file:
```
Pm8Y3Ho2
1.0
6.163 0.000 0.000
2.989 6.100 0.000
2.957 -0.768 11.633
Pm Y Ho
8 3 2
Direct
0.116 0.089 0.327 Pm
0.249 0.377 0.736 Pm
0.273 0.686 0.116 Pm
0.351 0.834 0.802 Pm
0.649 0.166 0.198 Pm
0.727 0.314 0.884 Pm
0.751 0.623 0.264 Pm
0.884 0.911 0.673 Pm
0.190 0.226 0.034 Y
0.500 0.000 0.500 Y
0.810 0.774 0.966 Y
0.230 0.567 0.427 Ho
0.770 0.433 0.573 Ho
```

Calculated values
magnetic moment = 0.00 μB per formula unit
E above lowest polymorph = 0 meV/atom
symmetry = P-1 (2)
energy of formation from the pure elements = 0.066 eV/atom
E = -65.70 eV per formula unit